1.
MgTeAu2: relaxed, PBE.

Cell and atoms, written as POSCAR:
```
MgTeAu2
1.0
4.4262 0.0000 0.0000
0.0000 4.6290 -0.0989
0.0000 1.1581 4.4923
Mg Au Te
1 2 1
Direct
0.0000 0.4836 0.4503 Mg
0.5000 0.2397 0.2633 Au
0.0000 0.0268 0.0171 Au
0.5000 0.7499 0.7693 Te
```

2.
PBE MgTeAu, relaxed; polymorph energy (0 for the lowest one) = 147 meV per atom
1.0
-0.8387 2.1638 -2.7320
2.4592 -2.5707 -0.4393
-4.5602 -4.0531 -1.8102
Au Te Mg
1 1 1
Direct
0.0000 0.0000 0.0337 Au
0.3333 0.6667 0.6631 Te
0.6667 0.3333 0.3032 Mg

3.
MgTeAu2: relaxed, PBE.

Cell and atoms, written as POSCAR:
```
MgTeAu2
1.0
-4.3631 1.1258 -1.1670
-4.1043 -1.1620 1.8627
-1.0952 4.3140 3.3511
Te Mg Au
1 1 2
Direct
0.2500 0.2500 0.2500 Te
0.7500 0.7500 0.7500 Mg
0.4913 0.4913 0.5454 Au
0.0087 0.0087 0.9546 Au
```

4.
MgTeAu2: relaxed, PBE.

Cell and atoms, written as POSCAR:
```
MgTeAu2
1.0
4.8705 -0.1624 0.2115
3.2028 3.6729 0.2115
0.9687 0.4212 4.8959
Au Te Mg
2 1 1
Direct
0.0186 0.0186 0.9405 Au
0.7648 0.7648 0.7172 Au
0.2344 0.2344 0.2649 Te
0.4823 0.4823 0.5774 Mg
```

5.
MgTlTe2Au: relaxed, PBE.

Cell and atoms, written as POSCAR:
```
MgTlTe2Au
1.0
-4.3304 1.2341 -3.0710
-4.0222 -5.9986 3.2612
-1.6965 5.9148 4.7691
Au Mg Te Tl
2 2 4 2
Direct
0.0000 0.0000 0.0000 Au
0.0000 0.0000 0.5000 Au
0.5106 0.0000 0.7500 Mg
0.4894 0.0000 0.2500 Mg
0.6762 0.2492 0.5487 Te
0.6762 0.7508 0.9513 Te
0.3238 0.2492 0.0487 Te
0.3238 0.7508 0.4513 Te
0.1485 0.5000 0.7500 Tl
0.8515 0.5000 0.2500 Tl
```

6.
MgZrTeAu2: relaxed, PBE.

Cell and atoms, written as POSCAR:
```
MgZrTeAu2
1.0
5.1941 0.0000 0.0000
0.0000 5.7562 0.0000
0.0000 0.0000 5.1941
Mg Te Au Zr
1 1 2 1
Direct
0.0000 0.5000 0.0000 Mg
0.5000 0.5000 0.5000 Te
0.0000 0.0000 0.5000 Au
0.5000 0.0000 0.0000 Au
0.0000 0.0000 0.0000 Zr
```

What did we get for total magnetization? Answer: 0.0 0.0 0.0 0.0 0.0 0.0 Bohr magnetons per cell, in the order shown.
What did we get for raw formation energy? Answer: -0.206 -0.245 -0.224 -0.199 -0.449 0.700 eV/atom, in the order shown.